Computed, not measured: PmPbSe2O8 after structural relaxation at the GGA-PBE level of DFT.

Cell lengths 5.8643, 5.8643, 7.4082 Å; angles 90.00, 90.00, 120.00 degrees
Space group P-3m1 (No. 164)
One atom of each set of equivalent atoms:
1 Pm 0.0000 0.0000 0.0000
2 Pb 0.0000 0.0000 0.5000
3 Se 0.3333 0.6667 0.2843
4 O 0.1679 0.3359 0.2161
5 O 0.3333 0.6667 0.5078

electronic total energy = -5.8434 eV/atom

Computed, not measured: PmPbSe2O after structural relaxation at the GGA-PBE level of DFT.

Cell lengths 4.015, 4.015, 15.707 Å; angles 90.00, 90.00, 90.00 degrees
Space group P4/nmm (No. 129, origin choice 2)
One atom of each set of equivalent atoms:
1 Pm 0.250 0.250 0.076
2 Pb 0.250 0.250 0.652
3 Se 0.250 0.250 0.401
4 Se 0.250 0.250 0.824
5 O 0.250 0.750 0.000

electronic total energy = -5.7009 eV/atom

Computed, not measured: PmSi2PbO6 after structural relaxation at the GGA-PBE level of DFT.

Cell lengths 7.340, 11.435, 8.030 Å; angles 90.00, 113.94, 90.00 degrees
Space group C2/c (No. 15)
One atom of each set of equivalent atoms:
1 Pm 0.000 0.220 0.250
2 Si 0.186 0.083 0.738
3 Pb 0.000 0.342 0.750
4 O 0.140 0.354 0.089
5 O 0.163 0.168 0.570
6 O 0.198 0.058 0.224

electronic total energy = -7.2317 eV/atom

Computed, not measured: Pm2SiPbO6 after structural relaxation at the GGA-PBE level of DFT.

Cell lengths 5.408, 5.408, 5.286 Å; angles 90.00, 90.00, 90.00 degrees
Space group P4mm (No. 99)
One atom of each set of equivalent atoms:
1 Pm 0.000 0.500 0.000
2 Si 0.000 0.000 0.637
3 Pb 0.500 0.500 0.546
4 O 0.000 0.000 0.321
5 O 0.218 0.218 0.752
6 O 0.500 0.500 0.093

electronic total energy = -7.3557 eV/atom

Computed, not measured: Pm2Sm4Pb3O2 after structural relaxation at the GGA-PBE level of DFT.

Cell lengths 4.785, 4.785, 26.023 Å; angles 90.00, 90.00, 90.00 degrees
Space group I4/mmm (No. 139)
One atom of each set of equivalent atoms:
1 Pm 0.000 0.000 0.194
2 Sm 0.000 0.500 0.083
3 Pb 0.000 0.000 0.321
4 Pb 0.000 0.000 0.500
5 O 0.000 0.000 0.100

electronic total energy = -5.8756 eV/atom

Computed, not measured: PmSmPb2O8 after structural relaxation at the GGA-PBE level of DFT.

Cell lengths 5.674, 5.674, 10.813 Å; angles 90.00, 90.00, 90.00 degrees
Space group I-4 (No. 82)
One atom of each set of equivalent atoms:
1 Pm 0.000 0.000 0.000
2 Sm 0.000 0.500 0.250
3 Pb 0.000 0.000 0.500
4 Pb 0.000 0.500 0.750
5 O 0.203 0.255 0.402
6 O 0.205 0.754 0.847

electronic total energy = -6.4376 eV/atom

Computed, not measured: Pm4Sm2Pb3O2 after structural relaxation at the GGA-PBE level of DFT.

Cell lengths 4.804, 4.804, 26.026 Å; angles 90.00, 90.00, 90.00 degrees
Space group I4/mmm (No. 139)
One atom of each set of equivalent atoms:
1 Pm 0.000 0.500 0.083
2 Sm 0.000 0.000 0.194
3 Pb 0.000 0.000 0.320
4 Pb 0.000 0.000 0.500
5 O 0.000 0.000 0.102

electronic total energy = -5.8732 eV/atom

Computed, not measured: Sr2PmPbO6 after structural relaxation at the GGA-PBE level of DFT.

Cell lengths 6.049, 6.211, 10.470 Å; angles 90.00, 124.76, 90.00 degrees
Space group P2_1/c (No. 14)
One atom of each set of equivalent atoms:
1 Sr 0.232 0.049 0.250
2 Pm 0.500 0.000 0.000
3 Pb 0.000 0.000 0.500
4 O 0.135 0.214 0.939
5 O 0.230 0.701 0.942
6 O 0.355 0.050 0.742

electronic total energy = -6.3556 eV/atom

Computed, not measured: Sr2Pm4Pb3O2 after structural relaxation at the GGA-PBE level of DFT.

Cell lengths 4.915, 4.915, 26.347 Å; angles 90.00, 90.00, 90.00 degrees
Space group I4/mmm (No. 139)
One atom of each set of equivalent atoms:
1 Sr 0.000 0.000 0.196
2 Pm 0.000 0.500 0.084
3 Pb 0.000 0.000 0.330
4 Pb 0.000 0.000 0.500
5 O 0.000 0.000 0.095

electronic total energy = -5.3416 eV/atom

Computed, not measured: PmTaPbO6 after structural relaxation at the GGA-PBE level of DFT.

Cell lengths 5.5168, 5.5168, 10.0521 Å; angles 90.00, 90.00, 120.00 degrees
Space group P-31c (No. 163)
One atom of each set of equivalent atoms:
1 Pm 0.0000 0.0000 0.0000
2 Ta 0.3333 0.6667 0.2500
3 Pb 0.3333 0.6667 0.7500
4 O 0.0261 0.3702 0.1370

electronic total energy = -7.8979 eV/atom

Computed, not measured: PmTaPb2O6 after structural relaxation at the GGA-PBE level of DFT.

Cell lengths 5.955, 6.032, 10.359 Å; angles 90.00, 125.09, 90.00 degrees
Space group P2_1/c (No. 14)
One atom of each set of equivalent atoms:
1 Pm 0.000 0.000 0.000
2 Ta 0.500 0.000 0.500
3 Pb 0.258 0.028 0.752
4 O 0.181 0.021 0.270
5 O 0.272 0.687 0.046
6 O 0.366 0.222 0.045

electronic total energy = -7.6940 eV/atom

Computed, not measured: PmTa2PbO8 after structural relaxation at the GGA-PBE level of DFT.

Cell lengths 6.1547, 6.1547, 6.7806 Å; angles 90.00, 90.00, 120.00 degrees
Space group P-3m1 (No. 164)
One atom of each set of equivalent atoms:
1 Pm 0.0000 0.0000 0.0000
2 Ta 0.3333 0.6667 0.6835
3 Pb 0.0000 0.0000 0.5000
4 O 0.1617 0.3234 0.7634
5 O 0.3333 0.6667 0.4209

electronic total energy = -8.4017 eV/atom